Entry from the Alexandria database: crystalline MoOs2 at its relaxed geometry (GGA-PBE).

Calculated values
DOS at the Fermi energy = 8.276 states/eV per cell
DFT formation energy = 0.3 eV per formula unit
E_tot = -0.40390 Ha/atom
Energy relative to the lowest polymorph listed for this composition = 0.376 eV/f.u.

Structure (CIF):
```
data_MoOs2
_cell_length_a 2.745
_cell_length_b 2.745
_cell_length_c 11.865
_cell_angle_alpha 90.00
_cell_angle_beta 90.00
_cell_angle_gamma 90.00
_space_group_name_H-M_alt 'I 4/m m m'
_space_group_IT_number 139
_space_group_name_Hall '-I 4 2'
loop_
_atom_site_label
_atom_site_type_symbol
_atom_site_fract_x
_atom_site_fract_y
_atom_site_fract_z
_atom_site_occupancy
Mo1 Mo 0.000 0.000 0.000 1
Os1 Os 0.000 0.000 0.328 1
```



Entry from the Alexandria database: crystalline Ti3In at its relaxed geometry (GGA-PBE).

Calculated values
DOS at the Fermi energy = 4.547 states/eV per cell
DFT formation energy = -0.5 eV per formula unit
E_tot = -0.24704 Ha/atom

Structure (CIF):
```
data_Ti3In
_cell_length_a 4.161
_cell_length_b 4.161
_cell_length_c 4.161
_cell_angle_alpha 90.00
_cell_angle_beta 90.00
_cell_angle_gamma 90.00
_space_group_name_H-M_alt 'P m -3 m'
_space_group_IT_number 221
_space_group_name_Hall '-P 4 2 3'
loop_
_atom_site_label
_atom_site_type_symbol
_atom_site_fract_x
_atom_site_fract_y
_atom_site_fract_z
_atom_site_occupancy
Ti1 Ti 0.000 0.000 0.500 1
In1 In 0.500 0.500 0.500 1
```



Entry from the Alexandria database: crystalline Pm3ThSi3 at its relaxed geometry (GGA-PBE).

Calculated values
DOS at the Fermi energy = 16.917 states/eV per cell
E_tot = -0.21620 Ha/atom

Structure (CIF):
```
data_Pm3ThSi3
_cell_length_a 10.1020
_cell_length_b 10.1020
_cell_length_c 6.2235
_cell_angle_alpha 90.00
_cell_angle_beta 90.00
_cell_angle_gamma 120.00
_space_group_name_H-M_alt 'R 3 m'
_space_group_IT_number 160
_space_group_name_Hall 'R 3 -2"'
loop_
_atom_site_label
_atom_site_type_symbol
_atom_site_fract_x
_atom_site_fract_y
_atom_site_fract_z
_atom_site_occupancy
Pm1 Pm 0.1938 0.3875 0.0000 1
Th1 Th 0.0000 0.0000 0.7675 1
Si1 Si 0.9995 0.4998 0.1955 1
```



Entry from the Alexandria database: crystalline SrLi2ZnAg at its relaxed geometry (GGA-PBE).

Calculated values
DOS at the Fermi energy = 2.425 states/eV per cell
DFT formation energy = -0.3 eV per formula unit
E_tot = -0.07271 Ha/atom
Energy relative to the lowest polymorph listed for this composition = 0.000 eV/f.u.

Structure (CIF):
```
data_SrLi2ZnAg
_cell_length_a 4.999
_cell_length_b 4.999
_cell_length_c 5.056
_cell_angle_alpha 90.00
_cell_angle_beta 90.00
_cell_angle_gamma 90.00
_space_group_name_H-M_alt 'P 4/m m m'
_space_group_IT_number 123
_space_group_name_Hall '-P 4 2'
loop_
_atom_site_label
_atom_site_type_symbol
_atom_site_fract_x
_atom_site_fract_y
_atom_site_fract_z
_atom_site_occupancy
Sr1 Sr 0.000 0.000 0.000 1
Li1 Li 0.000 0.500 0.500 1
Zn1 Zn 0.500 0.500 0.000 1
Ag1 Ag 0.500 0.500 0.500 1
```



Entry from the Alexandria database: crystalline CuAgMo2 at its relaxed geometry (GGA-PBE).

Calculated values
DOS at the Fermi energy = 5.838 states/eV per cell
DFT formation energy = 2.0 eV per formula unit
E_tot = -0.24480 Ha/atom
Energy relative to the lowest polymorph listed for this composition = 1.037 eV/f.u.

Structure (CIF):
```
data_CuAgMo2
_cell_length_a 3.976
_cell_length_b 3.976
_cell_length_c 7.788
_cell_angle_alpha 90.00
_cell_angle_beta 90.00
_cell_angle_gamma 90.00
_space_group_name_H-M_alt 'I -4 m 2'
_space_group_IT_number 119
_space_group_name_Hall 'I -4 -2'
loop_
_atom_site_label
_atom_site_type_symbol
_atom_site_fract_x
_atom_site_fract_y
_atom_site_fract_z
_atom_site_occupancy
Cu1 Cu 0.000 0.000 0.000 1
Ag1 Ag 0.000 0.500 0.250 1
Mo1 Mo 0.000 0.000 0.500 1
Mo2 Mo 0.000 0.500 0.750 1
```



Entry from the Alexandria database: crystalline CsBiPd3 at its relaxed geometry (GGA-PBE).

Calculated values
DOS at the Fermi energy = 5.257 states/eV per cell
DFT formation energy = 6.0 eV per formula unit
E_tot = -0.10487 Ha/atom
Energy relative to the lowest polymorph listed for this composition = 4.881 eV/f.u.

Structure (CIF):
```
data_CsBiPd3
_cell_length_a 5.264
_cell_length_b 5.264
_cell_length_c 5.264
_cell_angle_alpha 90.00
_cell_angle_beta 90.00
_cell_angle_gamma 90.00
_space_group_name_H-M_alt 'P m -3 m'
_space_group_IT_number 221
_space_group_name_Hall '-P 4 2 3'
loop_
_atom_site_label
_atom_site_type_symbol
_atom_site_fract_x
_atom_site_fract_y
_atom_site_fract_z
_atom_site_occupancy
Cs1 Cs 0.000 0.000 0.000 1
Bi1 Bi 0.500 0.500 0.500 1
Pd1 Pd 0.000 0.000 0.500 1
```



Entry from the Alexandria database: crystalline KAgSn2Au at its relaxed geometry (GGA-PBE).

Calculated values
DOS at the Fermi energy = 4.466 states/eV per cell
DFT formation energy = -0.9 eV per formula unit
E_tot = -0.11882 Ha/atom

Structure (CIF):
```
data_KAgSn2Au
_cell_length_a 4.866
_cell_length_b 4.866
_cell_length_c 11.564
_cell_angle_alpha 90.00
_cell_angle_beta 90.00
_cell_angle_gamma 90.00
_space_group_name_H-M_alt 'I -4 m 2'
_space_group_IT_number 119
_space_group_name_Hall 'I -4 -2'
loop_
_atom_site_label
_atom_site_type_symbol
_atom_site_fract_x
_atom_site_fract_y
_atom_site_fract_z
_atom_site_occupancy
K1 K 0.000 0.000 0.000 1
Ag1 Ag 0.000 0.500 0.750 1
Sn1 Sn 0.000 0.000 0.370 1
Au1 Au 0.000 0.500 0.250 1
```



Entry from the Alexandria database: crystalline Sb2OsCl at its relaxed geometry (GGA-PBE).

Calculated values
DOS at the Fermi energy = 2.948 states/eV per cell
E_tot = -0.16628 Ha/atom
Energy relative to the lowest polymorph listed for this composition = 3.273 eV/f.u.

Structure (CIF):
```
data_Sb2OsCl
_cell_length_a 3.094
_cell_length_b 4.527
_cell_length_c 6.608
_cell_angle_alpha 90.00
_cell_angle_beta 90.00
_cell_angle_gamma 90.00
_space_group_name_H-M_alt 'P m m m'
_space_group_IT_number 47
_space_group_name_Hall '-P 2 2'
loop_
_atom_site_label
_atom_site_type_symbol
_atom_site_fract_x
_atom_site_fract_y
_atom_site_fract_z
_atom_site_occupancy
Sb1 Sb 0.000 0.000 0.000 1
Sb2 Sb 0.500 0.000 0.500 1
Os1 Os 0.000 0.500 0.500 1
Cl1 Cl 0.500 0.500 0.000 1
```



Entry from the Alexandria database: crystalline ScSn3B at its relaxed geometry (GGA-PBE).

Calculated values
DOS at the Fermi energy = 3.859 states/eV per cell
DFT formation energy = 6.3 eV per formula unit
E_tot = -0.13792 Ha/atom
Energy relative to the lowest polymorph listed for this composition = 3.999 eV/f.u.

Structure (CIF):
```
data_ScSn3B
_cell_length_a 5.479
_cell_length_b 5.479
_cell_length_c 5.479
_cell_angle_alpha 90.00
_cell_angle_beta 90.00
_cell_angle_gamma 90.00
_space_group_name_H-M_alt 'P m -3 m'
_space_group_IT_number 221
_space_group_name_Hall '-P 4 2 3'
loop_
_atom_site_label
_atom_site_type_symbol
_atom_site_fract_x
_atom_site_fract_y
_atom_site_fract_z
_atom_site_occupancy
Sc1 Sc 0.000 0.000 0.000 1
Sn1 Sn 0.000 0.000 0.500 1
B1 B 0.500 0.500 0.500 1
```



Entry from the Alexandria database: crystalline Na2Cu3H5 at its relaxed geometry (GGA-PBE).

Calculated values
DOS at the Fermi energy = 3.308 states/eV per cell
E_tot = -0.11521 Ha/atom

Structure (CIF):
```
data_Na2Cu3H5
_cell_length_a 4.904
_cell_length_b 5.907
_cell_length_c 7.806
_cell_angle_alpha 98.78
_cell_angle_beta 96.02
_cell_angle_gamma 91.46
_space_group_name_H-M_alt 'P -1'
_space_group_IT_number 2
_space_group_name_Hall '-P 1'
loop_
_atom_site_label
_atom_site_type_symbol
_atom_site_fract_x
_atom_site_fract_y
_atom_site_fract_z
_atom_site_occupancy
Na1 Na 0.219 0.114 0.175 1
Na2 Na 0.265 0.551 0.575 1
Cu1 Cu 0.091 0.396 0.860 1
Cu2 Cu 0.261 0.050 0.562 1
Cu3 Cu 0.411 0.619 0.129 1
H1 H 0.001 0.844 0.562 1
H2 H 0.194 0.565 0.265 1
H3 H 0.312 0.185 0.786 1
H4 H 0.351 0.610 0.901 1
H5 H 0.486 0.154 0.436 1
```



Entry from the Alexandria database: crystalline CoAuSe2 at its relaxed geometry (GGA-PBE).

Calculated values
DOS at the Fermi energy = 3.703 states/eV per cell
E_tot = -0.14428 Ha/atom

Structure (CIF):
```
data_CoAuSe2
_cell_length_a 3.544
_cell_length_b 3.635
_cell_length_c 7.232
_cell_angle_alpha 90.00
_cell_angle_beta 90.00
_cell_angle_gamma 90.00
_space_group_name_H-M_alt 'P m m m'
_space_group_IT_number 47
_space_group_name_Hall '-P 2 2'
loop_
_atom_site_label
_atom_site_type_symbol
_atom_site_fract_x
_atom_site_fract_y
_atom_site_fract_z
_atom_site_occupancy
Co1 Co 0.000 0.000 0.000 1
Au1 Au 0.000 0.500 0.500 1
Se1 Se 0.500 0.000 0.500 1
Se2 Se 0.500 0.500 0.000 1
```